[1]
DFT (PBE) results for an optimized crystal structure of La5SmHoTm2.

crystal system: orthorhombic
symmetry: Cmc2_1 (36)
calculated formation energy: 0.13 eV per atom

```
La5SmHoTm2
1.0
5.486 0.000 0.000
-2.743 10.839 0.000
0.000 0.000 10.682
La Sm Ho Tm
10 2 2 4
direct
0.377 0.754 0.008
0.721 0.441 0.819
0.500 0.000 0.758
0.280 0.560 0.698
0.000 0.000 0.508
0.623 0.246 0.508
0.279 0.559 0.319
0.500 0.000 0.258
0.720 0.440 0.198
0.000 0.000 0.008
0.787 0.574 0.509
0.213 0.426 0.009
0.600 0.200 0.008
0.400 0.800 0.508
0.888 0.775 0.755
0.113 0.226 0.761
0.112 0.225 0.255
0.887 0.774 0.261
```

[2]
DFT (PBE) results for an optimized crystal structure of La2Sm3HoTm6.

crystal system: monoclinic
symmetry: C2/m (12)
calculated formation energy: 0.02 eV per atom

```
La2Sm3HoTm6
1.0
6.195 0.000 0.006
-3.096 5.366 0.006
-1.041 -1.803 11.544
La Sm Ho Tm
2 3 1 6
direct
0.334 0.666 0.000
0.666 0.334 0.000
0.167 0.833 0.500
0.833 0.167 0.500
0.500 0.500 0.500
0.000 0.000 0.000
0.916 0.583 0.748
0.752 0.752 0.252
0.084 0.417 0.252
0.583 0.916 0.748
0.248 0.248 0.748
0.417 0.084 0.252
```

[3]
DFT (PBE) results for an optimized crystal structure of La2Sm2HoTm.

crystal system: orthorhombic
symmetry: Pmma (51)
calculated formation energy: 0.06 eV per atom

```
La2Sm2HoTm
1.0
5.724 0.000 0.000
0.000 7.092 0.000
0.000 0.000 9.917
La Sm Ho Tm
4 4 2 2
direct
0.500 0.008 0.000
0.000 0.258 0.179
0.500 0.508 0.000
0.000 0.758 0.821
0.000 0.257 0.834
0.500 0.258 0.332
0.000 0.757 0.166
0.500 0.758 0.668
0.500 0.258 0.656
0.500 0.758 0.344
0.000 0.008 0.500
0.000 0.508 0.500
```

[4]
DFT (PBE) results for an optimized crystal structure of LaSmHo2Tm4.

crystal system: monoclinic
symmetry: C2/m (12)
calculated formation energy: 0.02 eV per atom

```
LaSmHo2Tm4
1.0
7.084 0.184 -0.221
-0.404 11.815 -3.231
-3.068 -8.395 8.382
La Sm Ho Tm
2 2 4 8
direct
0.500 0.500 0.500
0.000 0.000 0.000
0.000 0.500 0.000
0.000 0.500 0.500
0.500 0.000 0.000
0.500 0.000 0.500
0.000 0.000 0.500
0.500 0.500 0.000
0.252 0.749 0.002
0.751 0.248 0.501
0.249 0.752 0.499
0.748 0.251 0.998
0.751 0.749 0.003
0.749 0.751 0.497
0.251 0.249 0.503
0.249 0.251 0.997
```

[5]
DFT (PBE) results for an optimized crystal structure of LaSm2Ho4Tm.

crystal system: monoclinic
symmetry: Cm (8)
calculated formation energy: 0.02 eV per atom

```
LaSm2Ho4Tm
1.0
0.195 -4.337 5.673
7.856 -7.437 -5.982
-2.129 11.366 4.312
La Sm Ho Tm
2 4 8 2
direct
0.000 0.500 0.000
0.000 0.500 0.500
0.500 0.000 0.000
0.500 0.000 0.500
0.000 0.000 0.500
0.500 0.500 0.000
0.250 0.751 0.000
0.749 0.250 0.498
0.251 0.750 0.502
0.750 0.249 0.000
0.749 0.750 0.998
0.750 0.750 0.502
0.250 0.250 0.498
0.251 0.249 0.002
0.500 0.500 0.500
0.000 0.000 0.000
```

[6]
DFT (PBE) results for an optimized crystal structure of La2SmHoTm2.

crystal system: orthorhombic
symmetry: Pmc2_1 (26)
calculated formation energy: 0.03 eV per atom

```
La2SmHoTm2
1.0
5.754 0.000 0.000
0.000 6.346 0.000
0.000 0.000 11.012
La Sm Ho Tm
4 2 2 4
direct
0.500 0.175 0.084
0.000 0.339 0.252
0.500 0.675 0.916
0.000 0.839 0.748
0.500 0.178 0.745
0.500 0.678 0.255
0.000 0.840 0.419
0.000 0.340 0.581
0.000 0.342 0.914
0.500 0.171 0.422
0.000 0.842 0.086
0.500 0.671 0.578
```

Results for calculated total energy: -4.634, -4.598, -4.663, -4.562, -4.623, -4.648 (in eV per atom, following the order of the records).